Zr2ScMn: PBEsol geometry, meta-GGA SCAN.

Unit cell a=3.2540 b=4.7704 c=5.6257 alpha=114.73 beta=106.81 gamma=90.00
With the nearest neighbours (Å) after each atom.
Fractional positions:
Zr (0.9986, 0.0061, 0.9972)  4 Mn 2.76-3.02
Zr (0.2042, 0.7124, 0.4084)  2 Mn 2.52
Mn (0.5064, 0.4808, 0.0127)  4 Zr 2.52-2.76, 2 Sc 2.65
Sc (0.7908, 0.3007, 0.5817)  2 Mn 2.65

Summary:
The total magnetization comes out at 0.0 μB per formula unit. The calculation puts the density at 6.2 g/cm3. The excess energy over the best structure of this formula in the dataset is 11.5 meV per atom. The space group is Cm. The calculation puts the density of states at the Fermi level at 3.1 states/eV per cell.


ZrScMn4: PBEsol geometry, meta-GGA SCAN.

Unit cell a=4.8627 b=4.8627 c=4.8627 alpha=60.00 beta=60.00 gamma=60.00
With the nearest neighbours (Å) after each atom.
Fractional positions:
Mn (0.6250, 0.1250, 0.6250)  6 Mn 2.43
Mn (0.6250, 0.6250, 0.6250)  6 Mn 2.43
Mn (0.1250, 0.6250, 0.6250)  6 Mn 2.43
Mn (0.6250, 0.6250, 0.1250)  6 Mn 2.43
Zr (0.0000, 0.0000, 0.0000)  12 Mn 2.85, 4 Sc 2.98
Sc (0.2500, 0.2500, 0.2500)  12 Mn 2.85, 4 Zr 2.98

Summary:
The total magnetization comes out at 3.2 μB per formula unit. The calculation puts the density at 7.3 g/cm3. The calculation puts the total energy at -118.60 eV for the cell shown. The space group is F-43m. The calculation puts the density of states at the Fermi level at 5.4 states/eV per cell.